! NdP2Ir3 | Alexandria via LeMat-Bulk | GGA-PBE | optimized geometry; values from VASP
&SYSTEM
  ibrav = 0, nat = 18, ntyp = 3
/
ATOMIC_SPECIES
Nd 144.24 Nd.upf
P 30.97 P.upf
Ir 192.22 Ir.upf
CELL_PARAMETERS angstrom
8.0106 -1.9711 0.0000
8.0106 1.9711 0.0000
-2.9688 0.0000 9.3515
ATOMIC_POSITIONS crystal
Nd 0.0000 0.0000 0.0000
Nd 0.1517 0.1517 0.6907
Nd 0.8483 0.8483 0.3093
P 0.2022 0.2022 0.1346
P 0.3643 0.3643 0.5497
P 0.4628 0.4628 0.2224
P 0.5372 0.5372 0.7776
P 0.6357 0.6357 0.4503
P 0.7978 0.7978 0.8654
Ir 0.0444 0.0444 0.3249
Ir 0.2261 0.2261 0.3959
Ir 0.3256 0.3256 0.0514
Ir 0.3664 0.3664 0.7885
Ir 0.5000 0.5000 0.5000
Ir 0.6336 0.6336 0.2115
Ir 0.6744 0.6744 0.9486
Ir 0.7739 0.7739 0.6041
Ir 0.9556 0.9556 0.6751
! **Formation energy**: -0.84 eV/atom
! **Space-group type**: No. 12
! **Uncorrected energy**: -141.568 eV for the cell shown